(1)
Ni3NCl PBE-GGA relaxed; DOS(E_F) = 4.9 states/eV per cell; energy above the most stable polymorph in this dataset = 0.0 meV/atom; space group = Pm-3m; M_tot = 0.00 μB/cell; ρ = 6.51 g cm⁻³; ΔE_f (raw) = 0.285 eV per atom
1.0
3.8603 0.0000 0.0000
0.0000 3.8603 0.0000
0.0000 0.0000 3.8603
Ni N Cl
3 1 1
direct
0.0000 0.0000 0.5000
0.0000 0.5000 0.0000
0.5000 0.0000 0.0000
0.0000 0.0000 0.0000
0.5000 0.5000 0.5000



(2)
NiNCl2 PBE-GGA relaxed; energy above the most stable polymorph in this dataset = 0.0 meV/atom; space group = C2/m; M_tot = 3.85 μB/cell; ρ = 2.46 g cm⁻³; ΔE_f (raw) = -0.436 eV per atom
1.0
9.3019 -1.7420 0.0000
9.3019 1.7420 0.0000
-0.6383 0.0000 5.9769
Ni N Cl
2 2 4
direct
0.2501 0.2501 0.2498
0.7499 0.7499 0.7502
0.0047 0.0047 0.4101
0.9953 0.9953 0.5899
0.1795 0.1795 0.8935
0.3203 0.3203 0.6071
0.6797 0.6797 0.3929
0.8205 0.8205 0.1065



(3)
Ni2NCl PBE-GGA relaxed; DOS(E_F) = 2.1 states/eV per cell; energy above the most stable polymorph in this dataset = 959.4 meV/atom; space group = Fm-3m; M_tot = 0.00 μB/cell; ρ = 6.47 g cm⁻³; ΔE_f (raw) = 1.015 eV per atom
1.0
0.0000 2.7774 2.7774
2.7774 0.0000 2.7774
2.7774 2.7774 0.0000
Ni N Cl
2 1 1
direct
0.2500 0.2500 0.2500
0.7500 0.7500 0.7500
0.0000 0.0000 0.0000
0.5000 0.5000 0.5000



- Which of these has the lowest ρ?
  NiNCl2



- The lowest ΔE_f (raw) belongs to which entry?
  NiNCl2